No. 1
A plane-wave DFT calculation with PBE-GGA was carried out for an optimized crystal structure of SiMoPb2.

Total moment (μB per atom): 0.424
Formation energy (no corrections) (eV per atom): 0.850

Cell: 6.581 8.243 3.237 Å, 90.00 90.11 90.00°
Space group C2/m (No. 12)
Asymmetric unit:
Si  0.000  0.000  0.000 x2
Mo  0.000  0.500  0.000 x2
Pb  0.250  0.250  0.500 x4



No. 2
A plane-wave DFT calculation with PBE-GGA was carried out for an optimized crystal structure of TbSm2Sc.

Energy of formation (eV/atom): 0.041
Total moment (μB per atom): 0.000
Energy relative to the lowest polymorph listed for this composition (eV/f.u.): 0.007

Cell: 3.558 3.558 9.746 Å, 90.00 90.00 90.00°
Space group P4/mmm (No. 123)
Asymmetric unit:
Tb  0.000  0.000  0.000 x1
Sm  0.500  0.500  0.262 x2
Sc  0.000  0.000  0.500 x1



No. 3
A plane-wave DFT calculation with PBE-GGA was carried out for an optimized crystal structure of RbAlTe2Os.

Total moment (μB per atom): 0.223
Formation energy (no corrections) (eV per atom): 0.143

Cell: 5.539 5.539 4.838 Å, 90.00 90.00 90.00°
Space group P4/mmm (No. 123)
Asymmetric unit:
Rb  0.000  0.000  0.000 x1
Al  0.500  0.500  0.000 x1
Te  0.000  0.500  0.500 x2
Os  0.500  0.500  0.500 x1



No. 4
A plane-wave DFT calculation with PBE-GGA was carried out for an optimized crystal structure of LiEu3N.

Total moment (μB per atom): 4.370
Formation energy (no corrections) (eV per atom): -0.368

Cell: 5.149 5.149 5.149 Å, 90.00 90.00 90.00°
Space group Pm-3m (No. 221)
Asymmetric unit:
Li  0.000  0.000  0.000 x1
Eu  0.000  0.500  0.500 x3
N  0.500  0.500  0.500 x1



Question: Look up the total moment of the fourth one.
Answer: 4.370 μB per atom



Question: What is the total moment in the first record?
Answer: 0.424 μB per atom



Question: What is the total moment in the fourth record?
Answer: 4.370 μB per atom